[1]
# Zr2Ir2Au

An optimized crystal structure of Zr2Ir2Au (GGA-PBE, Alexandria).

```
Zr2Ir2Au
1.0
7.881 0.000 0.000
0.000 7.881 0.000
0.000 0.000 3.091
Zr Ir Au
4 4 2
Cartesian
1.214 2.726 0.000
2.726 6.667 0.000
5.155 1.214 0.000
6.667 5.155 0.000
1.085 5.026 1.545
2.856 1.085 1.545
5.026 6.796 1.545
6.796 2.856 1.545
0.000 0.000 0.000
3.941 3.941 0.000
```

Output
Space group: No. 127
Total magnetization: 0.00 μB/atom



[2]
# Zr3IrAu

An optimized crystal structure of Zr3IrAu (GGA-PBE, Alexandria).

```
Zr3IrAu
1.0
5.037 0.000 0.000
0.000 5.037 0.000
0.000 0.000 5.037
Zr Ir Au
3 1 1
Cartesian
0.000 0.000 2.519
0.000 2.519 0.000
2.519 0.000 0.000
0.000 0.000 0.000
2.519 2.519 2.519
```

Output
Space group: No. 221
Total magnetization: 0.00 μB/atom



[3]
# ZrIr3Au

An optimized crystal structure of ZrIr3Au (GGA-PBE, Alexandria).

```
ZrIr3Au
1.0
4.806 0.000 0.000
0.000 4.806 0.000
0.000 0.000 4.806
Zr Ir Au
1 3 1
Cartesian
0.000 0.000 0.000
0.000 2.403 2.403
2.403 0.000 2.403
2.403 2.403 0.000
2.403 2.403 2.403
```

Output
Space group: No. 221
Total magnetization: 0.09 μB/atom



[4]
# ZrIrAu

An optimized crystal structure of ZrIrAu (GGA-PBE, Alexandria).

```
ZrIrAu
1.0
0.000 3.177 3.177
3.177 0.000 3.177
3.177 3.177 0.000
Zr Ir Au
1 1 1
Cartesian
0.000 0.000 0.000
4.765 4.765 4.765
1.588 1.588 1.588
```

Output
Space group: No. 216
Total magnetization: 0.00 μB/atom



| no. | formation enthalpy at 0 K (eV/f.u.) | E above lowest polymorph (meV per atom) | D(E_F) (states/eV per cell) |
| --- | --- | --- | --- |
| 1 | -2.4 | 207 | 5.3 |
| 2 | 0.8 | 0 | 8.7 |
| 3 | 8.4 | 21 | 9.7 |
| 4 | -0.4 | 448 | 0.5 |